[1]
# Pr5Ge2Pt2 PBE relaxed
# Volume ... 484.8 Å³/cell
# M_tot ... 0.000 μB/atom
# Final energy ... -5.87 eV/atom
# E_form ... -0.85 eV/atom
data_Pr5Ge2Pt2
_space_group_name_H-M_alt 'P 1'
_space_group_IT_number 1
_space_group_name_Hall 'P 1'
_cell_length_a 7.8846
_cell_length_b 7.9218
_cell_length_c 8.7060
_cell_angle_alpha 90.00
_cell_angle_beta 63.07
_cell_angle_gamma 90.00
loop_
_atom_site_label
_atom_site_type_symbol
_atom_site_fract_x
_atom_site_fract_y
_atom_site_fract_z
Pr1 Pr 0.3161 0.6648 0.7157
Pr2 Pr 0.0000 0.0000 0.0000
Pr3 Pr 0.6839 0.3352 0.2843
Pr4 Pr 0.8161 0.8352 0.7157
Pr5 Pr 0.4682 0.1648 0.7157
Pr6 Pr 0.9682 0.3352 0.7157
Pr7 Pr 0.0318 0.6648 0.2843
Pr8 Pr 0.5318 0.8352 0.2843
Pr9 Pr 0.1839 0.1648 0.2843
Pr10 Pr 0.5000 0.5000 0.0000
Pt1 Pt 0.1995 0.0000 0.6010
Pt2 Pt 0.8005 0.0000 0.3990
Pt3 Pt 0.3005 0.5000 0.3990
Pt4 Pt 0.6995 0.5000 0.6010
Ge1 Ge 0.1212 0.3778 0.0000
Ge2 Ge 0.8788 0.6222 0.0000
Ge3 Ge 0.3788 0.8778 0.0000
Ge4 Ge 0.6212 0.1222 0.0000


[2]
# TlInW2 PBE relaxed
# Volume ... 76.1 Å³/cell
# M_tot ... 0.000 μB/atom
# Final energy ... -6.82 eV/atom
# E_form ... 0.93 eV/atom
data_TlInW2
_space_group_name_H-M_alt 'P 1'
_space_group_IT_number 1
_space_group_name_Hall 'P 1'
_cell_length_a 2.9321
_cell_length_b 2.9321
_cell_length_c 9.5408
_cell_angle_alpha 90.00
_cell_angle_beta 90.00
_cell_angle_gamma 111.92
loop_
_atom_site_label
_atom_site_type_symbol
_atom_site_fract_x
_atom_site_fract_y
_atom_site_fract_z
In1 In 0.5000 0.5000 0.2500
Tl1 Tl 0.5000 0.5000 0.7500
W1 W 0.0000 0.0000 0.0042
W2 W 0.0000 0.0000 0.4958


[3]
# LiAc2ScTl6 PBE relaxed
# Volume ... 298.6 Å³/cell
# M_tot ... 0.000 μB/atom
# Final energy ... -3.24 eV/atom
# E_form ... -0.18 eV/atom
data_LiAc2ScTl6
_space_group_name_H-M_alt 'P 1'
_space_group_IT_number 1
_space_group_name_Hall 'P 1'
_cell_length_a 7.5034
_cell_length_b 7.5036
_cell_length_c 7.4884
_cell_angle_alpha 60.06
_cell_angle_beta 60.06
_cell_angle_gamma 90.03
loop_
_atom_site_label
_atom_site_type_symbol
_atom_site_fract_x
_atom_site_fract_y
_atom_site_fract_z
Li1 Li 0.0000 0.0000 0.0000
Tl1 Tl 0.2397 0.2397 0.5276
Tl2 Tl 0.7654 0.7654 0.9973
Tl3 Tl 0.7603 0.7603 0.4724
Tl4 Tl 0.7641 0.2359 0.0000
Tl5 Tl 0.2346 0.2346 0.0027
Tl6 Tl 0.2359 0.7641 0.0000
Sc1 Sc 0.5000 0.5000 0.0000
Ac1 Ac 0.7507 0.2493 0.5000
Ac2 Ac 0.2493 0.7507 0.5000


[4]
# MgCoAu2 PBE relaxed
# Volume ... 65.6 Å³/cell
# M_tot ... 0.367 μB/atom
# Final energy ... -3.82 eV/atom
# E_form ... -0.01 eV/atom
data_MgCoAu2
_space_group_name_H-M_alt 'P 1'
_space_group_IT_number 1
_space_group_name_Hall 'P 1'
_cell_length_a 4.7805
_cell_length_b 4.7805
_cell_length_c 4.9386
_cell_angle_alpha 78.54
_cell_angle_beta 78.54
_cell_angle_gamma 36.45
loop_
_atom_site_label
_atom_site_type_symbol
_atom_site_fract_x
_atom_site_fract_y
_atom_site_fract_z
Au1 Au 0.9918 0.9918 0.0089
Au2 Au 0.5082 0.5082 0.4911
Mg1 Mg 0.7500 0.7500 0.7500
Co1 Co 0.2500 0.2500 0.2500


[5]
# LaErGa3 PBE relaxed
# Volume ... 238.4 Å³/cell
# M_tot ... 0.000 μB/atom
# Final energy ... -4.38 eV/atom
# E_form ... -0.67 eV/atom
data_LaErGa3
_space_group_name_H-M_alt 'P 1'
_space_group_IT_number 1
_space_group_name_Hall 'P 1'
_cell_length_a 4.2322
_cell_length_b 4.3739
_cell_length_c 13.0647
_cell_angle_alpha 99.64
_cell_angle_beta 90.00
_cell_angle_gamma 90.00
loop_
_atom_site_label
_atom_site_type_symbol
_atom_site_fract_x
_atom_site_fract_y
_atom_site_fract_z
Ga1 Ga 0.7500 0.6225 0.2449
Ga2 Ga 0.7500 0.5245 0.0490
Ga3 Ga 0.2500 0.3775 0.7551
Ga4 Ga 0.7500 0.3207 0.6414
Ga5 Ga 0.2500 0.4755 0.9510
Ga6 Ga 0.2500 0.6793 0.3586
La1 La 0.2500 0.0751 0.1502
La2 La 0.7500 0.9249 0.8498
Er1 Er 0.7500 0.2040 0.4079
Er2 Er 0.2500 0.7960 0.5921


[6]
# Na2TlBiF6 PBE relaxed
# Volume ... 176.4 Å³/cell
# Formation energy (no corrections) ... -2.4530 eV per atom
# M_tot ... 0.000 μB/atom
# Final energy ... -4.46 eV/atom
data_Na2TlBiF6
_space_group_name_H-M_alt 'P 1'
_space_group_IT_number 1
_space_group_name_Hall 'P 1'
_cell_length_a 6.1985
_cell_length_b 6.1984
_cell_length_c 6.3971
_cell_angle_alpha 61.01
_cell_angle_beta 61.01
_cell_angle_gamma 59.99
loop_
_atom_site_label
_atom_site_type_symbol
_atom_site_fract_x
_atom_site_fract_y
_atom_site_fract_z
F1 F 0.2531 0.9121 0.2184
F2 F 0.3449 0.6990 0.7683
F3 F 0.6991 0.1877 0.7684
F4 F 0.1878 0.3449 0.7684
F5 F 0.6163 0.2532 0.2183
F6 F 0.9122 0.6163 0.2184
Na1 Na 0.5270 0.5270 0.4191
Na2 Na 0.0136 0.0136 0.9592
Tl1 Tl 0.7948 0.7947 0.6157
Bi1 Bi 0.3130 0.3130 0.0610


[7]
# LaZn4Rh PBE relaxed
# Volume ... 124.3 Å³/cell
# M_tot ... 0.000 μB/atom
# Final energy ... -3.21 eV/atom
# E_form ... -0.32 eV/atom
data_LaZn4Rh
_space_group_name_H-M_alt 'P 1'
_space_group_IT_number 1
_space_group_name_Hall 'P 1'
_cell_length_a 5.0702
_cell_length_b 5.0705
_cell_length_c 7.5792
_cell_angle_alpha 67.81
_cell_angle_beta 112.20
_cell_angle_gamma 64.55
loop_
_atom_site_label
_atom_site_type_symbol
_atom_site_fract_x
_atom_site_fract_y
_atom_site_fract_z
Zn1 Zn 0.5000 0.5000 0.5000
Zn2 Zn 0.7426 0.7574 0.7399
Zn3 Zn 0.0000 0.0000 0.5000
Zn4 Zn 0.2574 0.2426 0.2601
La1 La 0.5000 0.0000 0.0000
Rh1 Rh 0.0000 0.5000 0.5000


[8]
# Pm2CdAg6 PBE relaxed
# Volume ... 200.9 Å³/cell
# M_tot ... 0.000 μB/atom
# Final energy ... -3.23 eV/atom
# E_form ... -0.17 eV/atom
data_Pm2CdAg6
_space_group_name_H-M_alt 'P 1'
_space_group_IT_number 1
_space_group_name_Hall 'P 1'
_cell_length_a 5.9023
_cell_length_b 6.2697
_cell_length_c 6.2697
_cell_angle_alpha 59.96
_cell_angle_beta 89.98
_cell_angle_gamma 89.98
loop_
_atom_site_label
_atom_site_type_symbol
_atom_site_fract_x
_atom_site_fract_y
_atom_site_fract_z
Pm1 Pm 0.8430 0.6666 0.6666
Pm2 Pm 0.1570 0.3334 0.3334
Ag1 Ag 0.3304 0.8166 0.8166
Ag2 Ag 0.6696 0.1834 0.1834
Ag3 Ag 0.6695 0.1832 0.6335
Ag4 Ag 0.6695 0.6335 0.1832
Ag5 Ag 0.3305 0.3665 0.8168
Ag6 Ag 0.3305 0.8168 0.3665
Cd1 Cd 0.0000 0.0000 0.0000


[9]
# LiMnTe4 PBE relaxed
# Volume ... 186.5 Å³/cell
# Formation energy (no corrections) ... 0.4320 eV per atom
# M_tot ... 0.907 μB/atom
# Final energy ... -3.51 eV/atom
data_LiMnTe4
_space_group_name_H-M_alt 'P 1'
_space_group_IT_number 1
_space_group_name_Hall 'P 1'
_cell_length_a 6.4125
_cell_length_b 6.4125
_cell_length_c 6.4125
_cell_angle_alpha 60.00
_cell_angle_beta 60.00
_cell_angle_gamma 60.00
loop_
_atom_site_label
_atom_site_type_symbol
_atom_site_fract_x
_atom_site_fract_y
_atom_site_fract_z
Li1 Li 0.7500 0.7500 0.7500
Te1 Te 0.3744 0.3744 0.3744
Te2 Te 0.3744 0.8767 0.3744
Te3 Te 0.3744 0.3744 0.8767
Te4 Te 0.8767 0.3744 0.3744
Mn1 Mn 0.0000 0.0000 0.0000


[10]
# Pr3RuSCl PBE relaxed
# Volume ... 327.6 Å³/cell
# Formation energy (no corrections) ... -1.2025 eV per atom
# M_tot ... 0.000 μB/atom
# Final energy ... -6.13 eV/atom
data_Pr3RuSCl
_space_group_name_H-M_alt 'P 1'
_space_group_IT_number 1
_space_group_name_Hall 'P 1'
_cell_length_a 4.1286
_cell_length_b 10.4193
_cell_length_c 7.6224
_cell_angle_alpha 92.35
_cell_angle_beta 90.00
_cell_angle_gamma 90.00
loop_
_atom_site_label
_atom_site_type_symbol
_atom_site_fract_x
_atom_site_fract_y
_atom_site_fract_z
Pr1 Pr 0.7500 0.2015 0.6162
Pr2 Pr 0.2500 0.2090 0.0650
Pr3 Pr 0.2500 0.5021 0.7489
Pr4 Pr 0.2500 0.7985 0.3838
Pr5 Pr 0.7500 0.7910 0.9350
Pr6 Pr 0.7500 0.4979 0.2511
Ru1 Ru 0.7500 0.3499 0.9156
Ru2 Ru 0.2500 0.6501 0.0844
S1 S 0.7500 0.6749 0.5769
S2 S 0.2500 0.3251 0.4231
Cl1 Cl 0.7500 0.9900 0.2584
Cl2 Cl 0.2500 0.0100 0.7416


[11]
# Li2HfNi2 PBE relaxed
# Volume ... 133.0 Å³/cell
# M_tot ... 0.000 μB/atom
# Final energy ... -5.07 eV/atom
# E_form ... -0.01 eV/atom
data_Li2HfNi2
_space_group_name_H-M_alt 'P 1'
_space_group_IT_number 1
_space_group_name_Hall 'P 1'
_cell_length_a 6.8850
_cell_length_b 6.8850
_cell_length_c 2.8053
_cell_angle_alpha 90.00
_cell_angle_beta 90.00
_cell_angle_gamma 90.00
loop_
_atom_site_label
_atom_site_type_symbol
_atom_site_fract_x
_atom_site_fract_y
_atom_site_fract_z
Li1 Li 0.6085 0.1085 0.0000
Li2 Li 0.1085 0.3915 0.0000
Li3 Li 0.8915 0.6085 0.0000
Li4 Li 0.3915 0.8915 0.0000
Ni1 Ni 0.8067 0.3067 0.5000
Ni2 Ni 0.6933 0.8067 0.5000
Ni3 Ni 0.1933 0.6933 0.5000
Ni4 Ni 0.3067 0.1933 0.5000
Hf1 Hf 0.5000 0.5000 0.0000
Hf2 Hf 0.0000 0.0000 0.0000


[12]
# NpZn4Ni15 PBE relaxed
# Volume ... 237.3 Å³/cell
# M_tot ... 0.000 μB/atom
# Final energy ... -5.32 eV/atom
# E_form ... -0.08 eV/atom
data_NpZn4Ni15
_space_group_name_H-M_alt 'P 1'
_space_group_IT_number 1
_space_group_name_Hall 'P 1'
_cell_length_a 3.6751
_cell_length_b 3.6751
_cell_length_c 17.5721
_cell_angle_alpha 90.00
_cell_angle_beta 90.00
_cell_angle_gamma 90.00
loop_
_atom_site_label
_atom_site_type_symbol
_atom_site_fract_x
_atom_site_fract_y
_atom_site_fract_z
Ni1 Ni 0.0000 0.5000 0.3054
Ni2 Ni 0.5000 0.0000 0.5000
Ni3 Ni 0.5000 0.5000 0.2072
Ni4 Ni 0.5000 0.5000 0.7928
Ni5 Ni 0.0000 0.5000 0.1052
Ni6 Ni 0.0000 0.5000 0.5000
Ni7 Ni 0.5000 0.5000 0.4035
Ni8 Ni 0.5000 0.0000 0.8948
Ni9 Ni 0.5000 0.0000 0.3054
Ni10 Ni 0.5000 0.0000 0.6946
Ni11 Ni 0.0000 0.5000 0.8948
Ni12 Ni 0.5000 0.5000 0.5965
Ni13 Ni 0.0000 0.5000 0.6946
Ni14 Ni 0.5000 0.5000 0.0000
Ni15 Ni 0.5000 0.0000 0.1052
Zn1 Zn 0.0000 0.0000 0.7915
Zn2 Zn 0.0000 0.0000 0.5976
Zn3 Zn 0.0000 0.0000 0.2085
Zn4 Zn 0.0000 0.0000 0.4024
Np1 Np 0.0000 0.0000 0.0000


[13]
# SrHRh PBE relaxed
# Volume ... 126.4 Å³/cell
# M_tot ... 0.000 μB/atom
# Final energy ... -4.20 eV/atom
data_SrHRh
_space_group_name_H-M_alt 'P 1'
_space_group_IT_number 1
_space_group_name_Hall 'P 1'
_cell_length_a 3.5272
_cell_length_b 4.4844
_cell_length_c 8.6925
_cell_angle_alpha 90.13
_cell_angle_beta 90.00
_cell_angle_gamma 113.16
loop_
_atom_site_label
_atom_site_type_symbol
_atom_site_fract_x
_atom_site_fract_y
_atom_site_fract_z
Rh1 Rh 0.8537 0.7073 0.9414
Rh2 Rh 0.1463 0.2927 0.0586
Sr1 Sr 0.1361 0.2722 0.7157
Sr2 Sr 0.8639 0.7278 0.2843
H1 H 0.6160 0.2319 0.1113
H2 H 0.3840 0.7681 0.8887


[14]
# UTlGeO6 PBE relaxed
# Volume ... 133.2 Å³/cell
# Formation energy (no corrections) ... -1.9038 eV per atom
# M_tot ... 0.000 μB/atom
# Final energy ... -7.24 eV/atom
data_UTlGeO6
_space_group_name_H-M_alt 'P 1'
_space_group_IT_number 1
_space_group_name_Hall 'P 1'
_cell_length_a 5.4076
_cell_length_b 5.4076
_cell_length_c 5.2591
_cell_angle_alpha 90.00
_cell_angle_beta 90.00
_cell_angle_gamma 60.00
loop_
_atom_site_label
_atom_site_type_symbol
_atom_site_fract_x
_atom_site_fract_y
_atom_site_fract_z
O1 O 0.6172 0.0230 0.2948
O2 O 0.3598 0.6173 0.2948
O3 O 0.0229 0.3598 0.2948
O4 O 0.3598 0.0230 0.7052
O5 O 0.6172 0.3598 0.7052
O6 O 0.0229 0.6173 0.7052
Ge1 Ge 0.3333 0.3333 0.5000
Tl1 Tl 0.0000 0.0000 0.0000
U1 U 0.6666 0.6667 0.5000


[15]
# CeHf2Tl PBE relaxed
# Volume ... 96.1 Å³/cell
# M_tot ... 0.000 μB/atom
# Final energy ... -6.75 eV/atom
# E_form ... 0.31 eV/atom
data_CeHf2Tl
_space_group_name_H-M_alt 'P 1'
_space_group_IT_number 1
_space_group_name_Hall 'P 1'
_cell_length_a 3.1323
_cell_length_b 3.1323
_cell_length_c 11.4568
_cell_angle_alpha 82.14
_cell_angle_beta 82.14
_cell_angle_gamma 60.00
loop_
_atom_site_label
_atom_site_type_symbol
_atom_site_fract_x
_atom_site_fract_y
_atom_site_fract_z
Hf1 Hf 0.9100 0.9100 0.2700
Hf2 Hf 0.0900 0.0900 0.7300
Tl1 Tl 0.5000 0.5000 0.5000
Ce1 Ce 0.0000 0.0000 0.0000


[16]
# PrNd14Er PBE relaxed
# Volume ... 559.7 Å³/cell
# M_tot ... 0.000 μB/atom
# Final energy ... -4.74 eV/atom
# E_form ... 0.01 eV/atom
data_PrNd14Er
_space_group_name_H-M_alt 'P 1'
_space_group_IT_number 1
_space_group_name_Hall 'P 1'
_cell_length_a 7.3417
_cell_length_b 7.3417
_cell_length_c 10.3842
_cell_angle_alpha 90.00
_cell_angle_beta 90.00
_cell_angle_gamma 89.98
loop_
_atom_site_label
_atom_site_type_symbol
_atom_site_fract_x
_atom_site_fract_y
_atom_site_fract_z
Nd1 Nd 0.3734 0.6266 0.2489
Nd2 Nd 0.3735 0.1235 0.7513
Nd3 Nd 0.1251 0.8749 0.5000
Nd4 Nd 0.6248 0.8747 0.0000
Nd5 Nd 0.3735 0.1235 0.2487
Nd6 Nd 0.1253 0.3752 0.0000
Nd7 Nd 0.3734 0.6266 0.7511
Nd8 Nd 0.8765 0.6265 0.7513
Nd9 Nd 0.6249 0.3751 0.5000
Nd10 Nd 0.6253 0.8753 0.5000
Nd11 Nd 0.8765 0.1235 0.7515
Nd12 Nd 0.1247 0.3747 0.5000
Nd13 Nd 0.8765 0.6265 0.2487
Nd14 Nd 0.8765 0.1235 0.2485
Er1 Er 0.1250 0.8750 0.0000
Pr1 Pr 0.6250 0.3750 0.0000


[17]
# SmTmLuGa PBE relaxed
# Volume ... 105.0 Å³/cell
# M_tot ... 0.003 μB/atom
# Final energy ... -4.28 eV/atom
# E_form ... -0.10 eV/atom
data_SmTmLuGa
_space_group_name_H-M_alt 'P 1'
_space_group_IT_number 1
_space_group_name_Hall 'P 1'
_cell_length_a 5.2948
_cell_length_b 5.2948
_cell_length_c 5.2948
_cell_angle_alpha 60.00
_cell_angle_beta 60.00
_cell_angle_gamma 60.00
loop_
_atom_site_label
_atom_site_type_symbol
_atom_site_fract_x
_atom_site_fract_y
_atom_site_fract_z
Sm1 Sm 0.5000 0.5000 0.5000
Ga1 Ga 0.2500 0.2500 0.2500
Tm1 Tm 0.0000 0.0000 0.0000
Lu1 Lu 0.7500 0.7500 0.7500


[18]
# KCo2Br PBE relaxed
# Volume ... 93.6 Å³/cell
# Formation energy (no corrections) ... 0.9509 eV per atom
# M_tot ... 1.028 μB/atom
# Final energy ... -3.29 eV/atom
data_KCo2Br
_space_group_name_H-M_alt 'P 1'
_space_group_IT_number 1
_space_group_name_Hall 'P 1'
_cell_length_a 3.7684
_cell_length_b 3.7684
_cell_length_c 6.5903
_cell_angle_alpha 90.00
_cell_angle_beta 90.00
_cell_angle_gamma 89.66
loop_
_atom_site_label
_atom_site_type_symbol
_atom_site_fract_x
_atom_site_fract_y
_atom_site_fract_z
Co1 Co 0.0000 0.0000 0.9112
Co2 Co 0.0000 0.0000 0.5888
Br1 Br 0.5000 0.5000 0.7500
K1 K 0.5000 0.5000 0.2500


[19]
# Cs2Hg5Au3 PBE relaxed
# Volume ... 322.0 Å³/cell
# M_tot ... 0.000 μB/atom
# Final energy ... -1.48 eV/atom
# E_form ... -0.18 eV/atom
data_Cs2Hg5Au3
_space_group_name_H-M_alt 'P 1'
_space_group_IT_number 1
_space_group_name_Hall 'P 1'
_cell_length_a 5.2761
_cell_length_b 5.2761
_cell_length_c 11.5686
_cell_angle_alpha 90.00
_cell_angle_beta 90.00
_cell_angle_gamma 90.00
loop_
_atom_site_label
_atom_site_type_symbol
_atom_site_fract_x
_atom_site_fract_y
_atom_site_fract_z
Hg1 Hg 0.5000 0.0000 0.8424
Hg2 Hg 0.0000 0.5000 0.1576
Hg3 Hg 0.0000 0.0000 0.0000
Hg4 Hg 0.5000 0.5000 0.5000
Hg5 Hg 0.5000 0.5000 0.0000
Au1 Au 0.0000 0.5000 0.4056
Au2 Au 0.5000 0.0000 0.5944
Au3 Au 0.0000 0.0000 0.5000
Cs1 Cs 0.5000 0.0000 0.2678
Cs2 Cs 0.0000 0.5000 0.7322


[20]
# InAg2Ru PBE relaxed
# Volume ... 70.0 Å³/cell
# M_tot ... 0.000 μB/atom
# Final energy ... -4.24 eV/atom
# E_form ... 0.19 eV/atom
data_InAg2Ru
_space_group_name_H-M_alt 'P 1'
_space_group_IT_number 1
_space_group_name_Hall 'P 1'
_cell_length_a 3.5533
_cell_length_b 4.2828
_cell_length_c 4.5969
_cell_angle_alpha 90.00
_cell_angle_beta 90.00
_cell_angle_gamma 90.00
loop_
_atom_site_label
_atom_site_type_symbol
_atom_site_fract_x
_atom_site_fract_y
_atom_site_fract_z
Ag1 Ag 0.5000 0.5000 0.0000
Ag2 Ag 0.0000 0.0000 0.0000
In1 In 0.5000 0.0000 0.5000
Ru1 Ru 0.0000 0.5000 0.5000